No. 1
First-principles (GGA-PBE) data for an optimized crystal structure of Na2RuN, as listed in Alexandria.

## Properties
Formation energy from raw total energies (meV per atom): 207.8
Total magnetization (μB/atom): 0.000

abc: 9.9057 9.9057 3.7335
angles: 90.00 90.00 90.00
Space group I-42d (No. 122)
One atom of each set of equivalent atoms:
Na1 0.0589 0.7500 0.1250 (multiplicity 8)
Ru1 0.0000 0.0000 0.5000 (multiplicity 4)
N1 0.0000 0.0000 0.0000 (multiplicity 4)

=====

No. 2
First-principles (GGA-PBE) data for an optimized crystal structure of AcZn2SiPt4, as listed in Alexandria.

## Properties
Formation energy from raw total energies (meV per atom): -737.4
Total magnetization (μB/atom): 0.000

abc: 4.3440 4.3440 26.9257
angles: 90.00 90.00 120.00
Space group R-3m (No. 166, hexagonal axes)
One atom of each set of equivalent atoms:
Ac1 0.0000 0.0000 0.0000 (multiplicity 3)
Zn1 0.0000 0.0000 0.2424 (multiplicity 6)
Si1 0.0000 0.0000 0.5000 (multiplicity 3)
Pt1 0.0000 0.0000 0.1390 (multiplicity 6)
Pt2 0.0000 0.0000 0.4099 (multiplicity 6)

=====

No. 3
First-principles (GGA-PBE) data for an optimized crystal structure of Th2TiAl4Pt3, as listed in Alexandria.

## Properties
Total magnetization (μB/atom): 0.000
Energy relative to the elements (eV per atom): -0.927

abc: 4.2355 4.2355 10.9117
angles: 90.00 90.00 90.00
Space group P-4m2 (No. 115)
One atom of each set of equivalent atoms:
Th1 0.0000 0.5000 0.2476 (multiplicity 2)
Ti1 0.0000 0.0000 0.5000 (multiplicity 1)
Al1 0.0000 0.0000 0.0000 (multiplicity 1)
Al2 0.0000 0.5000 0.6413 (multiplicity 2)
Al3 0.5000 0.5000 0.0000 (multiplicity 1)
Pt1 0.0000 0.5000 0.8691 (multiplicity 2)
Pt2 0.5000 0.5000 0.5000 (multiplicity 1)

=====

No. 4
First-principles (GGA-PBE) data for an optimized crystal structure of TaSnPb3, as listed in Alexandria.

## Properties
Total magnetization (μB/atom): 0.629
Distance to the lowest polymorph of the same formula (meV/atom): 918
Energy relative to the elements (eV per atom): 1.546

abc: 5.6757 5.6757 5.6757
angles: 90.00 90.00 90.00
Space group Pm-3m (No. 221)
One atom of each set of equivalent atoms:
Ta1 0.0000 0.0000 0.0000 (multiplicity 1)
Sn1 0.5000 0.5000 0.5000 (multiplicity 1)
Pb1 0.0000 0.5000 0.5000 (multiplicity 3)